[1]
DFT (PBE-GGA) results for crystalline Ce2PrHg at its relaxed geometry.

Energy above the most stable polymorph in this dataset   29 meV per atom
Crystal system   tetragonal
Energy   -0.158 Ha/atom
ΔH_f (0 K)   -59 meV/atom

Cell: 3.5359 3.5359 9.6003 Å, 90.00 90.00 90.00°
Site moments in Bohr magnetons follow the coordinates.
Fractional coordinates of all 4 atoms:
Pr: 0.5000 0.5000 0.5000  -0.01
Hg: 0.5000 0.5000 0.0000  0.01
Ce: 0.0000 0.0000 0.7727  0.73
Ce: 0.0000 0.0000 0.2273  0.73



[2]
DFT (PBE-GGA) results for crystalline IrPt3 at its relaxed geometry.

Crystal system   cubic
Energy   -0.245 Ha/atom
ΔH_f (0 K)   66 meV/atom

Cell: 3.9484 3.9484 3.9484 Å, 90.00 90.00 90.00°
Fractional coordinates of all 4 atoms:
Ir: 0.0000 0.0000 0.0000
Pt: 0.0000 0.5000 0.5000
Pt: 0.5000 0.0000 0.5000
Pt: 0.5000 0.5000 0.0000



[3]
DFT (PBE-GGA) results for crystalline NaCaUBr6 at its relaxed geometry.

Crystal system   trigonal
Formation energy from raw total energies   -1.583 eV per atom
Energy   -0.159 Ha/atom

Cell: 7.4351 7.4351 13.3671 Å, 90.00 90.00 120.00°
Site moments in Bohr magnetons follow the coordinates.
Fractional coordinates of all 18 atoms:
Na: 0.0000 0.0000 0.0000  0.00
Na: 0.0000 0.0000 0.5000  0.00
Ca: 0.3333 0.6667 0.2500  0.01
Ca: 0.6667 0.3333 0.7500  0.01
U: 0.6667 0.3333 0.2500  2.92
U: 0.3333 0.6667 0.7500  2.92
Br: 0.6518 0.6518 0.1284  -0.01
Br: 0.0001 0.3482 0.1284  -0.01
Br: 0.3482 0.0001 0.6284  -0.01
Br: 0.9999 0.6518 0.8716  -0.01
Br: 0.3482 0.3482 0.3716  -0.01
Br: 0.0001 0.6518 0.3716  -0.01
Br: 0.6518 0.0001 0.8716  -0.01
Br: 0.6518 0.9999 0.3716  -0.01
Br: 0.9999 0.3482 0.6284  -0.01
Br: 0.3482 0.9999 0.1284  -0.01
Br: 0.6518 0.6518 0.6284  -0.01
Br: 0.3482 0.3482 0.8716  -0.01



[4]
DFT (PBE-GGA) results for crystalline CaSb2Au at its relaxed geometry.

Crystal system   monoclinic
Formation energy from raw total energies   -0.409 eV per atom
Energy   -0.139 Ha/atom

Cell: 6.0078 6.0078 4.7372 Å, 67.51 67.51 40.08°
Fractional coordinates of all 4 atoms:
Sb: 0.9825 0.9825 0.0242
Sb: 0.2452 0.2452 0.2546
Ca: 0.7465 0.7465 0.7528
Au: 0.5258 0.5258 0.4683



[5]
DFT (PBE-GGA) results for crystalline CaPm6Tm5 at its relaxed geometry.

Crystal system   monoclinic
Energy   -0.160 Ha/atom
ΔH_f (0 K)   39 meV/atom

Cell: 6.2313 8.0227 8.0227 Å, 84.88 97.53 97.53°
Fractional coordinates of all 12 atoms:
Ca: 0.0000 0.0000 0.0000
Tm: 0.5000 0.8280 0.1720
Tm: 0.0000 0.6611 0.3389
Tm: 0.5000 0.5000 0.5000
Tm: 0.0000 0.3389 0.6611
Tm: 0.5000 0.1720 0.8280
Pm: 0.7481 0.9166 0.5752
Pm: 0.2519 0.4248 0.0834
Pm: 0.2604 0.7476 0.7476
Pm: 0.7396 0.2524 0.2524
Pm: 0.7481 0.5752 0.9166
Pm: 0.2519 0.0834 0.4248



[6]
DFT (PBE-GGA) results for crystalline Sm2Br3 at its relaxed geometry.

Crystal system   trigonal
Formation energy from raw total energies   -1.274 eV per atom
Energy   -0.153 Ha/atom

Cell: 6.6800 6.6800 8.8682 Å, 67.88 67.88 60.00°
Site moments in Bohr magnetons follow the coordinates.
Fractional coordinates of all 10 atoms:
Br: 0.0859 0.7500 0.7500  0.01
Br: 0.7500 0.4141 0.7500  0.01
Br: 0.4141 0.0859 0.7500  0.01
Br: 0.2500 0.5859 0.2500  0.01
Br: 0.5859 0.9141 0.2500  0.01
Br: 0.9141 0.2500 0.2500  0.01
Sm: 0.8314 0.8314 0.5058  0.36
Sm: 0.3314 0.3314 0.0058  0.36
Sm: 0.1686 0.1686 0.4942  0.36
Sm: 0.6686 0.6686 0.9942  0.36



[7]
DFT (PBE-GGA) results for crystalline Ac2SiHgO6 at its relaxed geometry.

Crystal system   tetragonal
Formation energy from raw total energies   -2.482 eV per atom
Energy   -0.252 Ha/atom

Cell: 4.8470 5.5774 5.5774 Å, 90.00 90.00 90.00°
Fractional coordinates of all 10 atoms:
Ac: 0.0301 0.5000 0.0000
Ac: 0.0301 0.0000 0.5000
Si: 0.6069 0.0000 0.0000
Hg: 0.5499 0.5000 0.5000
O: 0.7166 0.2155 0.2155
O: 0.7166 0.2155 0.7845
O: 0.1018 0.5000 0.5000
O: 0.2618 0.0000 0.0000
O: 0.7166 0.7845 0.7845
O: 0.7166 0.7845 0.2155



[8]
DFT (PBE-GGA) results for crystalline PdSOF2 at its relaxed geometry.

Energy above the most stable polymorph in this dataset   0 meV per atom
Crystal system   tetragonal
Formation energy from raw total energies   -0.178 eV per atom
Energy   -0.139 Ha/atom

Cell: 4.4594 4.4594 3.4126 Å, 90.00 90.00 90.00°
Site moments in Bohr magnetons follow the coordinates.
Fractional coordinates of all 5 atoms:
S: 0.0000 0.0000 0.0000  -0.04
O: 0.0000 0.0000 0.5000  -0.01
Pd: 0.5000 0.5000 0.5000  0.66
F: 0.0000 0.5000 0.0000  0.01
F: 0.5000 0.0000 0.0000  0.01



[9]
DFT (PBE-GGA) results for crystalline LaTbSi2Pd5 at its relaxed geometry.

Crystal system   tetragonal
Formation energy from raw total energies   -0.893 eV per atom
Energy   -0.222 Ha/atom

Cell: 4.2450 4.2450 9.0490 Å, 90.00 90.00 90.00°
Fractional coordinates of all 9 atoms:
La: 0.0000 0.0000 0.5000
Tb: 0.0000 0.0000 0.0000
Si: 0.5000 0.5000 0.1300
Si: 0.5000 0.5000 0.8700
Pd: 0.0000 0.5000 0.2619
Pd: 0.5000 0.0000 0.2619
Pd: 0.0000 0.5000 0.7381
Pd: 0.5000 0.0000 0.7381
Pd: 0.5000 0.5000 0.5000



[10]
DFT (PBE-GGA) results for crystalline TaFeHg2N at its relaxed geometry.

Crystal system   tetragonal
Formation energy from raw total energies   0.886 eV per atom
Energy   -0.182 Ha/atom

Cell: 5.5228 3.8870 5.5228 Å, 90.00 90.00 90.00°
Site moments in Bohr magnetons follow the coordinates.
Fractional coordinates of all 5 atoms:
Fe: 0.5000 0.5000 0.5000  3.27
N: 0.0000 0.5000 0.0000  0.04
Hg: 0.0000 0.0000 0.5000  -0.01
Hg: 0.5000 0.0000 0.0000  -0.01
Ta: 0.0000 0.0000 0.0000  -0.08



[11]
DFT (PBE-GGA) results for crystalline UPaRu6 at its relaxed geometry.

Crystal system   tetragonal
Energy   -0.364 Ha/atom
ΔH_f (0 K)   -344 meV/atom

Cell: 4.0204 5.6891 5.6891 Å, 90.00 90.00 90.00°
Fractional coordinates of all 8 atoms:
U: 0.5000 0.0000 0.0000
Pa: 0.5000 0.5000 0.5000
Ru: 0.0000 0.7562 0.2438
Ru: 0.0000 0.2438 0.7562
Ru: 0.0000 0.7561 0.7561
Ru: 0.0000 0.2439 0.2439
Ru: 0.5000 0.5000 0.0000
Ru: 0.5000 0.0000 0.5000



[12]
DFT (PBE-GGA) results for crystalline SrDy2TaN4 at its relaxed geometry.

Crystal system   orthorhombic
Formation energy from raw total energies   -1.278 eV per atom
Energy   -0.304 Ha/atom

Cell: 3.4543 6.3612 12.1771 Å, 90.00 90.00 105.75°
Fractional coordinates of all 16 atoms:
Sr: 0.0976 0.1951 0.7500
Sr: 0.9024 0.8049 0.2500
Dy: 0.3714 0.7428 0.5336
Dy: 0.6286 0.2572 0.0336
Dy: 0.6286 0.2572 0.4664
Dy: 0.3714 0.7428 0.9664
Ta: 0.8327 0.6654 0.7500
Ta: 0.1673 0.3346 0.2500
N: 0.2582 0.5164 0.1199
N: 0.7418 0.4836 0.6199
N: 0.7418 0.4836 0.8801
N: 0.2582 0.5164 0.3801
N: 0.0000 0.0000 0.5000
N: 0.0000 0.0000 0.0000
N: 0.4223 0.8447 0.7500
N: 0.5777 0.1553 0.2500



[13]
DFT (PBE-GGA) results for crystalline V2AgAuSe at its relaxed geometry.

Crystal system   tetragonal
Formation energy from raw total energies   1.240 eV per atom
Energy   -0.159 Ha/atom

Cell: 5.0457 4.9222 5.0457 Å, 90.00 90.00 90.00°
Site moments in Bohr magnetons follow the coordinates.
Fractional coordinates of all 5 atoms:
Au: 0.0000 0.5000 0.0000  0.00
Se: 0.5000 0.5000 0.5000  -0.21
Ag: 0.0000 0.0000 0.0000  0.12
V: 0.0000 0.0000 0.5000  2.73
V: 0.5000 0.0000 0.0000  2.90



[14]
DFT (PBE-GGA) results for crystalline PrCuSi2Pt at its relaxed geometry.

Crystal system   tetragonal
Formation energy from raw total energies   -0.833 eV per atom
Energy   -0.220 Ha/atom

Cell: 4.1623 4.1623 5.8502 Å, 110.84 110.84 90.00°
Fractional coordinates of all 5 atoms:
Pr: 0.0000 0.0000 0.0000
Cu: 0.7500 0.2500 0.5000
Si: 0.6195 0.6195 0.2390
Si: 0.3805 0.3805 0.7610
Pt: 0.2500 0.7500 0.5000



[15]
DFT (PBE-GGA) results for crystalline Ni4B at its relaxed geometry.

Energy above the most stable polymorph in this dataset   0 meV per atom
Crystal system   tetragonal
Energy   -0.222 Ha/atom
ΔH_f (0 K)   -73 meV/atom

Cell: 5.1430 5.1430 5.1430 Å, 104.56 104.56 119.81°
Fractional coordinates of all 10 atoms:
Ni: 0.6971 0.4005 0.2966
Ni: 0.1039 0.4005 0.7034
Ni: 0.1505 0.3539 0.2034
Ni: 0.1505 0.9471 0.7966
Ni: 0.6461 0.8495 0.7966
Ni: 0.0529 0.8495 0.2034
Ni: 0.5995 0.8961 0.2966
Ni: 0.5995 0.3029 0.7034
B: 0.5000 0.5000 0.0000
B: 0.2500 0.7500 0.5000



[16]
DFT (PBE-GGA) results for crystalline CaVS at its relaxed geometry.

Energy above the most stable polymorph in this dataset   0 meV per atom
Crystal system   monoclinic
Formation energy from raw total energies   -0.865 eV per atom
Energy   -0.219 Ha/atom

Cell: 3.5327 3.6772 9.6707 Å, 78.82 79.45 89.99°
Site moments in Bohr magnetons follow the coordinates.
Fractional coordinates of all 6 atoms:
Ca: 0.1299 0.8576 0.7004  0.00
Ca: 0.9463 0.1690 0.0684  0.01
S: 0.3797 0.6013 0.2016  -0.01
S: 0.5630 0.2892 0.8345  0.00
V: 0.7879 0.5077 0.3851  1.15
V: 0.2952 0.0152 0.3707  -1.06



[17]
DFT (PBE-GGA) results for crystalline Li8Si2Ge at its relaxed geometry.

Crystal system   monoclinic
Formation energy from raw total energies   -0.202 eV per atom
Energy   -0.110 Ha/atom

Cell: 4.3942 6.8783 6.8792 Å, 119.52 108.63 90.00°
Fractional coordinates of all 11 atoms:
Li: 0.3751 0.5558 0.7503
Li: 0.6691 0.8810 0.3382
Li: 0.8495 0.7945 0.6991
Li: 0.9764 0.2784 0.9528
Li: 0.1505 0.2055 0.3009
Li: 0.3309 0.1190 0.6618
Li: 0.6249 0.4442 0.2497
Li: 0.0236 0.7216 0.0472
Si: 0.7884 0.3220 0.5767
Si: 0.2116 0.6780 0.4233
Ge: 0.5000 0.0000 0.0000



[18]
DFT (PBE-GGA) results for crystalline La3In at its relaxed geometry.

Energy above the most stable polymorph in this dataset   100 meV per atom
Crystal system   orthorhombic
Energy   -0.168 Ha/atom
ΔH_f (0 K)   -202 meV/atom

Cell: 5.8396 5.8396 3.8530 Å, 90.00 90.00 95.28°
Fractional coordinates of all 4 atoms:
In: 0.0000 0.0000 0.0000
La: 0.0000 0.5000 0.5000
La: 0.5000 0.0000 0.5000
La: 0.5000 0.5000 0.0000



[19]
DFT (PBE-GGA) results for crystalline CeHfO4 at its relaxed geometry.

Crystal system   monoclinic
Formation energy from raw total energies   -3.453 eV per atom
Energy   -0.346 Ha/atom

Cell: 6.5759 6.5759 5.2330 Å, 69.10 69.10 114.01°
Fractional coordinates of all 12 atoms:
Ce: 0.8644 0.1356 0.2500
Ce: 0.1356 0.8644 0.7500
Hf: 0.5969 0.4031 0.7500
Hf: 0.4031 0.5969 0.2500
O: 0.8884 0.4535 0.8327
O: 0.5465 0.1116 0.6673
O: 0.2841 0.2336 0.2348
O: 0.7664 0.7159 0.2652
O: 0.2336 0.2841 0.7348
O: 0.7159 0.7664 0.7652
O: 0.4535 0.8884 0.3327
O: 0.1116 0.5465 0.1673



[20]
DFT (PBE-GGA) results for crystalline TlCd2Cl at its relaxed geometry.

Energy above the most stable polymorph in this dataset   60 meV per atom
Crystal system   orthorhombic
Formation energy from raw total energies   -0.264 eV per atom
Energy   -0.065 Ha/atom

Cell: 3.4888 3.4888 9.2788 Å, 90.00 90.00 107.96°
Fractional coordinates of all 4 atoms:
Tl: 0.5000 0.5000 0.7481
Cl: 0.0000 0.0000 0.4615
Cd: 0.0000 0.0000 0.0255
Cd: 0.5000 0.5000 0.2649



[21]
DFT (PBE-GGA) results for crystalline Na2Cd2Ga at its relaxed geometry.

Energy above the most stable polymorph in this dataset   166 meV per atom
Crystal system   tetragonal
Energy   -0.052 Ha/atom
ΔH_f (0 K)   95 meV/atom

Cell: 8.9813 8.9813 3.2509 Å, 90.00 90.00 90.00°
Fractional coordinates of all 10 atoms:
Na: 0.3234 0.8234 0.0000
Na: 0.8234 0.6766 0.0000
Na: 0.6766 0.1766 0.0000
Na: 0.1766 0.3234 0.0000
Ga: 0.0000 0.0000 0.0000
Ga: 0.5000 0.5000 0.0000
Cd: 0.1198 0.6198 0.5000
Cd: 0.6198 0.8802 0.5000
Cd: 0.8802 0.3802 0.5000
Cd: 0.3802 0.1198 0.5000



[22]
DFT (PBE-GGA) results for crystalline TlC at its relaxed geometry.

Energy above the most stable polymorph in this dataset   1277 meV per atom
Crystal system   tetragonal
Energy   -0.137 Ha/atom
ΔH_f (0 K)   2061 meV/atom

Cell: 9.4833 9.4833 3.9520 Å, 90.00 90.00 90.00°
Fractional coordinates of all 16 atoms:
Tl: 0.4027 0.2252 0.0000
Tl: 0.5973 0.7748 0.0000
Tl: 0.7748 0.4027 0.0000
Tl: 0.2252 0.5973 0.0000
Tl: 0.9027 0.7252 0.5000
Tl: 0.0973 0.2748 0.5000
Tl: 0.2748 0.9027 0.5000
Tl: 0.7252 0.0973 0.5000
C: 0.3649 0.8008 0.0000
C: 0.6351 0.1992 0.0000
C: 0.1992 0.3649 0.0000
C: 0.8008 0.6351 0.0000
C: 0.8649 0.3008 0.5000
C: 0.1351 0.6992 0.5000
C: 0.6992 0.8649 0.5000
C: 0.3008 0.1351 0.5000



[23]
DFT (PBE-GGA) results for crystalline Ac2Y3 at its relaxed geometry.

Energy above the most stable polymorph in this dataset   137 meV per atom
Crystal system   trigonal
Energy   -0.189 Ha/atom
ΔH_f (0 K)   387 meV/atom

Cell: 6.2952 6.2952 12.4822 Å, 75.39 75.39 60.00°
Fractional coordinates of all 10 atoms:
Y: 0.0868 0.7500 0.7500
Y: 0.7500 0.4132 0.7500
Y: 0.4132 0.0868 0.7500
Y: 0.2500 0.5868 0.2500
Y: 0.5868 0.9132 0.2500
Y: 0.9132 0.2500 0.2500
Ac: 0.8332 0.8332 0.5004
Ac: 0.3332 0.3332 0.0004
Ac: 0.1668 0.1668 0.4996
Ac: 0.6668 0.6668 0.9996



[24]
DFT (PBE-GGA) results for crystalline BaTiBr2 at its relaxed geometry.

Energy above the most stable polymorph in this dataset   26 meV per atom
Crystal system   tetragonal
Formation energy from raw total energies   -0.660 eV per atom
Energy   -0.145 Ha/atom

Cell: 6.0061 6.0061 9.1183 Å, 70.77 70.77 90.00°
Site moments in Bohr magnetons follow the coordinates.
Fractional coordinates of all 8 atoms:
Ba: 0.0000 0.0000 0.0000  0.17
Ba: 0.7500 0.2500 0.5000  0.17
Br: 0.5392 0.1250 0.2500  0.02
Br: 0.2108 0.6250 0.2500  0.02
Br: 0.3750 0.4608 0.7500  0.02
Br: 0.8750 0.7892 0.7500  0.02
Ti: 0.5000 0.5000 0.0000  2.06
Ti: 0.2500 0.7500 0.5000  2.07